1.
# GGA-PBE HoURu3, optimized geometry
data_HoURu3
_space_group_name_H-M_alt 'P -1'
_space_group_IT_number 2
_cell_length_a 5.6653
_cell_length_b 5.6907
_cell_length_c 6.6524
_cell_angle_alpha 81.14
_cell_angle_beta 80.58
_cell_angle_gamma 60.42
loop_
_space_group_symop_operation_xyz
'x,y,z'
'-x,-y,-z'
loop_
_atom_site_label
_atom_site_fract_x
_atom_site_fract_y
_atom_site_fract_z
_atom_site_occupancy
Ho1 0.1602 0.1633 0.0645 1
U1 0.0000 0.0000 0.5000 1
U2 0.5000 0.5000 0.0000 1
Ru1 0.1048 0.5919 0.3140 1
Ru2 0.3941 0.3937 0.6975 1
Ru3 0.3953 0.9017 0.6814 1
# **Energy above the most stable polymorph in this dataset**: 46 meV per atom

---

2.
Compound: Ho3URu6
Source: Alexandria via LeMat-Bulk
Functional: GGA-PBE
Structure: optimized geometry

Structure (CIF):
```
data_Ho3URu6
_space_group_name_H-M_alt 'F m -3 m'
_space_group_IT_number 225
_space_group_name_Hall '-F 4 2 3'
_cell_length_a 9.6168
_cell_length_b 9.6168
_cell_length_c 9.6168
_cell_angle_alpha 90.00
_cell_angle_beta 90.00
_cell_angle_gamma 90.00
loop_
_atom_site_label
_atom_site_fract_x
_atom_site_fract_y
_atom_site_fract_z
_atom_site_occupancy
Ho1 0.0000 0.0000 0.0000 1
Ho2 0.2500 0.2500 0.2500 1
U1 0.0000 0.0000 0.5000 1
Ru1 0.0000 0.0000 0.2577 1
```

---

3.
Compound: Ho3URu3
Source: Alexandria via LeMat-Bulk
Functional: GGA-PBE
Structure: optimized geometry

Structure (CIF):
```
data_Ho3URu3
_space_group_name_H-M_alt 'C 1 2/m 1'
_space_group_IT_number 12
_cell_length_a 10.1941
_cell_length_b 8.8807
_cell_length_c 6.7413
_cell_angle_alpha 90.00
_cell_angle_beta 91.22
_cell_angle_gamma 90.00
loop_
_space_group_symop_operation_xyz
'x,y,z'
'-x,-y,-z'
'-x,y,-z'
'x,-y,z'
'x+1/2,y+1/2,z'
'-x+1/2,-y+1/2,-z'
'-x+1/2,y+1/2,-z'
'x+1/2,-y+1/2,z'
loop_
_atom_site_label
_atom_site_fract_x
_atom_site_fract_y
_atom_site_fract_z
_atom_site_occupancy
Ho1 0.0000 0.2181 0.0000 1
Ho2 0.0000 0.2343 0.5000 1
Ho3 0.2352 0.5000 0.5045 1
U1 0.2313 0.5000 0.0060 1
Ru1 0.0015 0.5000 0.7631 1
Ru2 0.2488 0.2487 0.7796 1
```

---

Let's list formation energy in order: -20, 63, -30 kJ/mol of atoms.
Let's list electronic total energy in order: -0.657, -0.545, -0.578 Ry/atom.
Let's list V in order: 183.3, 889.4, 610.1 Å³ per cell.